1.
Density functional theory data (PBE) for a relaxed structure of H19AuC23N2.

Lattice parameters (Å, degrees): 8.463 9.561 13.040 97.91 107.81 105.93
Fractional coordinates of all 90 atoms:
1 H 0.401 0.609 0.246
2 H 0.682 0.254 0.616
3 H 0.123 0.254 0.646
4 H 0.549 0.681 0.051
5 H 0.632 0.988 0.593
6 H 0.602 0.058 0.823
7 H 0.140 0.231 0.052
8 H 0.000 0.580 0.121
9 H 0.467 0.167 0.090
10 H 0.272 0.444 0.685
11 H 0.825 0.205 0.008
12 H 0.527 0.862 0.659
13 H 0.599 0.391 0.754
14 H 0.013 0.962 0.726
15 H 0.877 0.746 0.354
16 H 0.396 0.346 0.241
17 H 0.860 0.769 0.948
18 H 0.016 0.428 0.261
19 H 0.987 0.038 0.274
20 H 0.318 0.746 0.384
21 H 0.175 0.795 0.992
22 H 0.232 0.108 0.909
23 H 0.051 0.397 0.591
24 H 0.368 0.012 0.407
25 H 0.473 0.138 0.341
26 H 0.728 0.556 0.315
27 H 0.282 0.475 0.036
28 H 0.398 0.942 0.177
29 H 0.000 0.420 0.879
30 H 0.229 0.627 0.525
31 H 0.771 0.373 0.475
32 H 0.533 0.833 0.910
33 H 0.451 0.319 0.949
34 H 0.949 0.603 0.409
35 H 0.718 0.525 0.964
36 H 0.984 0.572 0.739
37 H 0.604 0.654 0.759
38 H 0.768 0.892 0.091
39 C 0.742 0.289 0.187
40 C 0.757 0.810 0.507
41 C 0.360 0.552 0.305
42 C 0.837 0.644 0.383
43 C 0.687 0.370 0.616
44 C 0.792 0.002 0.762
45 C 0.257 0.417 0.459
46 C 0.208 0.998 0.238
47 C 0.741 0.071 0.842
48 C 0.276 0.541 0.974
49 C 0.754 0.205 0.268
50 C 0.258 0.711 0.813
51 C 0.767 0.130 0.338
52 C 0.640 0.448 0.695
53 C 0.417 0.741 0.903
54 C 0.095 0.101 0.890
55 C 0.358 0.405 0.302
56 C 0.583 0.259 0.097
57 C 0.694 0.661 0.619
58 C 0.655 0.914 0.650
59 C 0.892 0.405 0.193
60 C 0.233 0.870 0.662
61 C 0.883 0.490 0.114
62 C 0.739 0.436 0.538
63 C 0.425 0.657 0.982
64 C 0.957 0.831 0.030
65 C 0.866 0.154 0.946
66 C 0.246 0.795 0.732
67 C 0.313 0.630 0.384
68 C 0.134 0.846 0.054
69 C 0.345 0.086 0.350
70 C 0.970 0.018 0.787
71 C 0.575 0.343 0.018
72 C 0.306 0.339 0.381
73 C 0.163 0.356 0.617
74 C 0.030 0.982 0.213
75 C 0.243 0.190 0.493
76 C 0.259 0.929 0.158
77 C 0.117 0.510 0.886
78 C 0.642 0.595 0.698
79 C 0.108 0.595 0.807
80 C 0.743 0.583 0.541
81 C 0.043 0.169 0.970
82 C 0.261 0.564 0.462
83 C 0.905 0.899 0.110
84 C 0.724 0.459 0.026
85 Au 0.772 0.980 0.429
86 Au 0.228 0.020 0.571
87 N 0.702 0.799 0.595
88 N 0.217 0.321 0.524
89 N 0.783 0.679 0.476
90 N 0.298 0.201 0.405

Summary:
Total DFT energy (no corrections) (eV per formula unit): -294.3

=====

2.
Density functional theory data (PBE) for a relaxed structure of H21AuC20N2O.

Lattice parameters (Å, degrees): 9.770 10.524 10.529 109.05 110.43 106.48
Fractional coordinates of all 90 atoms:
1 C 0.244 0.034 0.953
2 C 0.279 0.395 0.292
3 C 0.658 0.461 0.588
4 C 0.756 0.966 0.047
5 C 0.821 0.320 0.350
6 C 0.654 0.234 0.283
7 C 0.122 0.643 0.744
8 C 0.185 0.267 0.547
9 C 0.683 0.348 0.620
10 C 0.768 0.763 0.315
11 C 0.230 0.691 0.899
12 C 0.602 0.224 0.034
13 C 0.381 0.810 0.506
14 C 0.829 0.524 0.893
15 C 0.366 0.381 0.832
16 C 0.619 0.190 0.494
17 C 0.603 0.908 0.773
18 C 0.721 0.605 0.708
19 C 0.317 0.652 0.380
20 C 0.546 0.188 0.129
21 C 0.346 0.766 0.717
22 C 0.179 0.680 0.650
23 C 0.769 0.381 0.774
24 C 0.024 0.874 0.275
25 C 0.806 0.637 0.860
26 C 0.194 0.363 0.140
27 C 0.231 0.619 0.226
28 C 0.342 0.539 0.412
29 C 0.232 0.237 0.685
30 C 0.878 0.357 0.256
31 C 0.815 0.733 0.453
32 C 0.398 0.776 0.966
33 C 0.909 0.824 0.296
34 C 0.091 0.176 0.704
35 C 0.397 0.092 0.227
36 C 0.976 0.126 0.725
37 C 0.634 0.619 0.168
38 C 0.171 0.476 0.107
39 C 0.454 0.812 0.871
40 C 0.770 0.309 0.101
41 H 0.179 0.663 0.969
42 H 0.896 0.550 0.013
43 H 0.395 0.173 0.659
44 H 0.252 0.952 0.863
45 H 0.474 0.424 0.819
46 H 0.526 0.576 0.181
47 H 0.705 0.694 0.682
48 H 0.774 0.882 0.081
49 H 0.209 0.707 0.202
50 H 0.676 0.532 0.144
51 H 0.400 0.358 0.929
52 H 0.858 0.750 0.955
53 H 0.407 0.561 0.530
54 H 0.593 0.439 0.470
55 H 0.791 0.293 0.798
56 H 0.485 0.889 0.508
57 H 0.226 0.118 0.919
58 H 0.008 0.421 0.302
59 H 0.861 0.024 0.036
60 H 0.482 0.815 0.086
61 H 0.518 0.185 0.914
62 H 0.913 0.835 0.559
63 H 0.605 0.827 0.341
64 H 0.285 0.849 0.483
65 H 0.992 0.579 0.698
66 H 0.145 0.356 0.568
67 H 0.292 0.307 0.533
68 H 0.324 0.468 0.856
69 H 0.855 0.644 0.432
70 H 0.087 0.165 0.441
71 H 0.821 0.337 0.031
72 H 0.715 0.151 0.517
73 H 0.104 0.450 0.987
74 H 0.142 0.250 0.045
75 H 0.904 0.354 0.469
76 H 0.600 0.642 0.071
77 H 0.295 0.306 0.318
78 H 0.708 0.693 0.467
79 H 0.748 0.048 0.137
80 H 0.515 0.111 0.492
81 H 0.139 0.976 0.964
82 H 0.096 0.646 0.531
83 N 0.558 0.173 0.339
84 N 0.609 0.897 0.900
85 N 0.391 0.103 0.100
86 N 0.442 0.827 0.661
87 Au 0.208 0.979 0.249
88 Au 0.792 0.021 0.751
89 O 0.704 0.874 0.337
90 O 0.296 0.126 0.663

Summary:
Total DFT energy (no corrections) (eV per formula unit): -281.3

=====

3.
Density functional theory data (PBE) for a relaxed structure of H24AuC16S2N3O4.

Lattice parameters (Å, degrees): 9.744 10.371 10.642 111.82 100.83 98.50
Fractional coordinates of all 100 atoms:
1 C 0.048 0.711 0.494
2 C 0.779 0.950 0.479
3 C 0.980 0.881 0.692
4 C 0.332 0.327 0.340
5 C 0.269 0.826 0.137
6 C 0.319 0.858 0.932
7 C 0.877 0.851 0.455
8 C 0.668 0.673 0.660
9 C 0.882 0.331 0.099
10 C 0.551 0.210 0.500
11 C 0.838 0.814 0.308
12 C 0.162 0.186 0.692
13 C 0.123 0.149 0.545
14 C 0.296 0.469 0.523
15 C 0.020 0.119 0.308
16 C 0.118 0.669 0.901
17 C 0.635 0.349 0.028
18 C 0.221 0.050 0.521
19 C 0.265 0.093 0.677
20 C 0.503 0.377 0.713
21 C 0.952 0.289 0.506
22 C 0.731 0.174 0.863
23 C 0.245 0.435 0.368
24 C 0.449 0.790 0.500
25 C 0.617 0.639 0.514
26 C 0.497 0.623 0.287
27 C 0.755 0.565 0.632
28 C 0.365 0.651 0.972
29 C 0.681 0.142 0.068
30 C 0.383 0.361 0.486
31 C 0.735 0.907 0.323
32 C 0.704 0.531 0.477
33 H 0.564 0.548 0.253
34 H 0.011 0.617 0.513
35 H 0.484 0.886 0.483
36 H 0.618 0.433 0.760
37 H 0.248 0.933 0.943
38 H 0.436 0.452 0.747
39 H 0.909 0.954 0.715
40 H 0.516 0.114 0.517
41 H 0.838 0.242 0.447
42 H 0.908 0.061 0.253
43 H 0.771 0.253 0.826
44 H 0.674 0.430 0.992
45 H 0.428 0.916 0.996
46 H 0.318 0.802 0.822
47 H 0.682 0.198 0.178
48 H 0.039 0.678 0.382
49 H 0.199 0.900 0.145
50 H 0.951 0.797 0.729
51 H 0.621 0.114 0.802
52 H 0.046 0.742 0.915
53 H 0.118 0.618 0.791
54 H 0.334 0.746 0.448
55 H 0.229 0.747 0.174
56 H 0.475 0.714 0.034
57 H 0.092 0.939 0.747
58 H 0.532 0.180 0.387
59 H 0.989 0.383 0.487
60 H 0.572 0.084 0.004
61 H 0.525 0.286 0.966
62 H 0.326 0.570 0.008
63 H 0.361 0.600 0.861
64 H 0.666 0.254 0.552
65 H 0.961 0.322 0.618
66 H 0.468 0.820 0.613
67 H 0.520 0.709 0.252
68 H 0.639 0.400 0.139
69 H 0.752 0.067 0.057
70 H 0.082 0.587 0.937
71 H 0.801 0.100 0.855
72 H 0.954 0.258 0.085
73 H 0.918 0.413 0.063
74 H 0.091 0.046 0.285
75 H 0.049 0.203 0.271
76 H 0.480 0.291 0.748
77 H 0.379 0.886 0.198
78 H 0.882 0.382 0.209
79 H 0.382 0.567 0.240
80 H 0.162 0.758 0.553
81 O 0.167 0.478 0.295
82 O 0.833 0.522 0.705
83 O 0.274 0.550 0.633
84 O 0.350 0.064 0.759
85 O 0.750 0.031 0.583
86 O 0.650 0.936 0.241
87 O 0.250 0.969 0.417
88 O 0.726 0.450 0.367
89 S 0.892 0.710 0.171
90 S 0.643 0.793 0.807
91 S 0.357 0.207 0.193
92 S 0.108 0.290 0.829
93 N 0.036 0.184 0.459
94 N 0.528 0.684 0.439
95 N 0.733 0.249 0.014
96 N 0.267 0.751 0.986
97 N 0.964 0.816 0.541
98 N 0.472 0.316 0.561
99 Au 0.770 0.749 0.986
100 Au 0.230 0.251 0.014

Summary:
Total DFT energy (no corrections) (eV per formula unit): -293.5